(1)
PBE ScAgOs2, optimized geometry; calculated formation energy = 0.3 eV/f.u.; density = 13479 kg/m³; ΔE to the lowest computed polymorph = 0 meV/atom
1.0
2.874 0.000 0.000
0.000 3.925 0.000
0.000 0.000 5.824
Sc Ag Os
1 1 2
direct
0.000 0.000 0.000 Sc
0.500 0.500 0.260 Ag
0.000 0.000 0.546 Os
0.500 0.500 0.730 Os

(2)
PBE Ta3SeCl, optimized geometry; formation energy without anion corrections = 1.0527 eV/atom; density = 11421 kg/m³; ΔE to the lowest computed polymorph = 0 meV/atom
1.0
4.572 0.000 0.000
0.000 4.572 0.000
0.000 0.000 4.572
Ta Se Cl
3 1 1
direct
0.000 0.000 0.500 Ta
0.000 0.500 0.000 Ta
0.500 0.000 0.000 Ta
0.500 0.500 0.500 Se
0.000 0.000 0.000 Cl

(3)
PBE TbPrSn6, optimized geometry; calculated formation energy = -3.8 eV/f.u.; density = 7800 kg/m³
1.0
4.823 0.000 0.000
0.000 4.823 0.000
0.000 0.000 9.263
Tb Pr Sn
1 1 6
direct
0.000 0.000 0.000 Tb
0.000 0.000 0.500 Pr
0.000 0.500 0.245 Sn
0.000 0.500 0.755 Sn
0.500 0.000 0.245 Sn
0.500 0.000 0.755 Sn
0.500 0.500 0.000 Sn
0.500 0.500 0.500 Sn

(4)
PBE MgOs2Pb, optimized geometry; calculated formation energy = 1.2 eV/f.u.; density = 13286 kg/m³
1.0
2.978 0.000 0.000
0.000 2.978 0.000
0.000 0.000 8.626
Mg Os Pb
1 2 1
direct
0.000 0.000 0.000 Mg
0.000 0.000 0.393 Os
0.500 0.500 0.211 Os
0.500 0.500 0.649 Pb

Q: density of number 1 (ScAgOs2)?
A: 13479 kg/m³